Ta2AlSbC after structural relaxation. Source: Alexandria via LeMat-Bulk, functional GGA-PBE.

CIF file:
```
data_Ta2AlSbC
_chemical_formula_sum 'Ta2 Al1 Sb1 C1'
_cell_length_a 4.307
_cell_length_b 4.307
_cell_length_c 4.703
_cell_angle_alpha 90.00
_cell_angle_beta 90.00
_cell_angle_gamma 90.00
_space_group_name_H-M_alt 'P 4/m m m'
_space_group_IT_number 123
_space_group_name_Hall '-P 4 2'
loop_
_atom_site_label
_atom_site_type_symbol
_atom_site_fract_x
_atom_site_fract_y
_atom_site_fract_z
Ta1 Ta 0.000 0.500 0.000
Al1 Al 0.000 0.000 0.500
Sb1 Sb 0.500 0.500 0.500
C1 C 0.500 0.500 0.000
```

Results
The uncorrected energy is -38.5 eV/cell. The calculation puts the uncorrected formation energy at 466 meV per atom. The calculation puts the total magnetic moment at 0.00 μB/f.u.

---

AlSb2TeC after structural relaxation. Source: Alexandria via LeMat-Bulk, functional GGA-PBE.

CIF file:
```
data_AlSb2TeC
_chemical_formula_sum 'Al1 Sb2 Te1 C1'
_cell_length_a 5.264
_cell_length_b 5.264
_cell_length_c 5.265
_cell_angle_alpha 90.00
_cell_angle_beta 90.00
_cell_angle_gamma 90.00
_space_group_name_H-M_alt 'P 4/m m m'
_space_group_IT_number 123
_space_group_name_Hall '-P 4 2'
loop_
_atom_site_label
_atom_site_type_symbol
_atom_site_fract_x
_atom_site_fract_y
_atom_site_fract_z
Al1 Al 0.000 0.000 0.000
Sb1 Sb 0.000 0.500 0.000
Te1 Te 0.000 0.000 0.500
C1 C 0.500 0.500 0.500
```

Results
The uncorrected energy is -15.5 eV/cell. The calculation puts the uncorrected formation energy at 1762 meV per atom. The calculation puts the total magnetic moment at 1.59 μB/f.u.

---

AlSbTe2C after structural relaxation. Source: Alexandria via LeMat-Bulk, functional GGA-PBE.

CIF file:
```
data_AlSbTe2C
_chemical_formula_sum 'Al1 Sb1 Te2 C1'
_cell_length_a 4.839
_cell_length_b 4.839
_cell_length_c 4.738
_cell_angle_alpha 90.00
_cell_angle_beta 90.00
_cell_angle_gamma 90.00
_space_group_name_H-M_alt 'P 4/m m m'
_space_group_IT_number 123
_space_group_name_Hall '-P 4 2'
loop_
_atom_site_label
_atom_site_type_symbol
_atom_site_fract_x
_atom_site_fract_y
_atom_site_fract_z
Al1 Al 0.000 0.000 0.000
Sb1 Sb 0.500 0.500 0.000
Te1 Te 0.000 0.500 0.500
C1 C 0.500 0.500 0.500
```

Results
The uncorrected energy is -18.5 eV/cell. The calculation puts the uncorrected formation energy at 980 meV per atom. The calculation puts the total magnetic moment at 0.00 μB/f.u.

---

AlSb2TeC after structural relaxation. Source: Alexandria via LeMat-Bulk, functional GGA-PBE.

CIF file:
```
data_AlSb2TeC
_chemical_formula_sum 'Al1 Sb2 Te1 C1'
_cell_length_a 4.745
_cell_length_b 4.745
_cell_length_c 4.881
_cell_angle_alpha 90.00
_cell_angle_beta 90.00
_cell_angle_gamma 90.00
_space_group_name_H-M_alt 'P 4/m m m'
_space_group_IT_number 123
_space_group_name_Hall '-P 4 2'
loop_
_atom_site_label
_atom_site_type_symbol
_atom_site_fract_x
_atom_site_fract_y
_atom_site_fract_z
Al1 Al 0.000 0.000 0.000
Sb1 Sb 0.000 0.500 0.500
Te1 Te 0.500 0.500 0.000
C1 C 0.500 0.500 0.500
```

Results
The uncorrected energy is -19.5 eV/cell. The calculation puts the uncorrected formation energy at 974 meV per atom. The calculation puts the total magnetic moment at 0.00 μB/f.u.

---

AlSbTe2C after structural relaxation. Source: Alexandria via LeMat-Bulk, functional GGA-PBE.

CIF file:
```
data_AlSbTe2C
_chemical_formula_sum 'Al1 Sb1 Te2 C1'
_cell_length_a 5.309
_cell_length_b 5.309
_cell_length_c 5.253
_cell_angle_alpha 90.00
_cell_angle_beta 90.00
_cell_angle_gamma 90.00
_space_group_name_H-M_alt 'P 4/m m m'
_space_group_IT_number 123
_space_group_name_Hall '-P 4 2'
loop_
_atom_site_label
_atom_site_type_symbol
_atom_site_fract_x
_atom_site_fract_y
_atom_site_fract_z
Al1 Al 0.000 0.000 0.000
Sb1 Sb 0.000 0.000 0.500
Te1 Te 0.000 0.500 0.000
C1 C 0.500 0.500 0.500
```

Results
The uncorrected energy is -14.9 eV/cell. The calculation puts the uncorrected formation energy at 1695 meV per atom. The calculation puts the total magnetic moment at 1.53 μB/f.u.

---

ScAl3C3 after structural relaxation. Source: Alexandria via LeMat-Bulk, functional GGA-PBE.

CIF file:
```
data_ScAl3C3
_chemical_formula_sum 'Sc2 Al6 C6'
_cell_length_a 3.3623
_cell_length_b 3.3623
_cell_length_c 16.7823
_cell_angle_alpha 90.00
_cell_angle_beta 90.00
_cell_angle_gamma 120.00
_space_group_name_H-M_alt 'P 63/m m c'
_space_group_IT_number 194
_space_group_name_Hall '-P 6c 2c'
loop_
_atom_site_label
_atom_site_type_symbol
_atom_site_fract_x
_atom_site_fract_y
_atom_site_fract_z
Sc1 Sc 0.0000 0.0000 0.0000
Al1 Al 0.3333 0.6667 0.1290
Al2 Al 0.3333 0.6667 0.7500
C1 C 0.3333 0.6667 0.2500
C2 C 0.3333 0.6667 0.5866
```

Results
The uncorrected energy is -95.3 eV/cell. The calculation puts the total magnetic moment at 0.00 μB/f.u. The formation energy is -0.348 eV/atom.

---

Number 1: theoretical density 9.948 g/cm3. Number 2: theoretical density 4.667 g/cm3. Number 3: theoretical density 6.226 g/cm3. Number 4: theoretical density 6.196 g/cm3. Number 5: theoretical density 4.665 g/cm3. Number 6: theoretical density 3.273 g/cm3.